No. 1
Density functional theory data (PBE-GGA) for crystalline KMg2Tl2 at its relaxed geometry.

Unit cell a=7.589 b=7.589 c=7.589 alpha=143.10 beta=143.10 gamma=53.18
Positions (direct):
K1 0.000 0.000 0.000
Mg1 0.250 0.750 0.500
Mg2 0.750 0.250 0.500
Tl1 0.386 0.386 0.000
Tl2 0.614 0.614 0.000

## Properties
* V: 157 Å³/cell
* magnetization: 0.0 μB per cell
* space-group type: No. 139
* E above lowest polymorph: 18 meV/atom
* ΔE_f: -0.17 eV/f.u.

***

No. 2
Density functional theory data (PBE-GGA) for crystalline Rb2Mn2Br at its relaxed geometry.

Unit cell a=9.222 b=9.222 c=4.705 alpha=90.00 beta=90.00 gamma=90.00
Positions (direct):
Rb1 0.200 0.300 0.000
Rb2 0.300 0.800 0.000
Rb3 0.700 0.200 0.000
Rb4 0.800 0.700 0.000
Mn1 0.094 0.594 0.500
Mn2 0.406 0.094 0.500
Mn3 0.594 0.906 0.500
Mn4 0.906 0.406 0.500
Br1 0.000 0.000 0.500
Br2 0.500 0.500 0.500

## Properties
* V: 400 Å³/cell
* magnetization: 18.6 μB per cell
* formation energy (no corrections): 0.49 eV/atom
* space-group type: No. 127
* E above lowest polymorph: 0 meV/atom

***

No. 3
Density functional theory data (PBE-GGA) for crystalline Sn2H2Pd5 at its relaxed geometry.

Unit cell a=3.988 b=3.988 c=8.201 alpha=90.00 beta=90.00 gamma=90.00
Positions (direct):
Sn1 0.000 0.000 0.000
Sn2 0.000 0.000 0.500
H1 0.500 0.500 0.242
H2 0.500 0.500 0.758
Pd1 0.000 0.500 0.237
Pd2 0.000 0.500 0.763
Pd3 0.500 0.000 0.237
Pd4 0.500 0.000 0.763
Pd5 0.500 0.500 0.500

## Properties
* V: 130 Å³/cell
* energy: -4.8760 eV/atom
* magnetization: 0.0 μB per cell
* space-group type: No. 123